# 1
{
  "formula": "HgBiBr2F",
  "functional": "GGA-PBE",
  "state": "relaxed",
  "raw_formation_energy_ev_per_fu": -4.47,
  "lattice": [[5.784, 0.000, 0.000], [0.000, 5.784, 0.000], [0.000, 0.000, 4.607]],
  "species": ["F", "Bi", "Br", "Br", "Hg"],
  "frac_coords": [[0.000, 0.000, 0.500], [0.000, 0.000, 0.000], [0.500, 0.000, 0.000], [0.000, 0.500, 0.000], [0.500, 0.500, 0.500]]
}


# 2
{
  "formula": "BaZnNi",
  "functional": "GGA-PBE",
  "state": "relaxed",
  "formation_enthalpy_0k_ev_per_fu": 0.465,
  "lattice": [[-3.259, -1.663, -3.206], [-3.164, -3.453, 1.317], [-4.711, 1.092, 0.531]],
  "species": ["Zn", "Ba", "Ni"],
  "frac_coords": [[0.000, 0.000, 0.000], [0.500, 0.500, 0.500], [0.750, 0.750, 0.750]]
}


# 3
{
  "formula": "LaSi2Ge2",
  "functional": "GGA-PBE",
  "state": "relaxed",
  "raw_formation_energy_ev_per_fu": -0.79,
  "polymorph_energy_ev_per_atom": 0.015,
  "lattice": [[-1.147, 4.516, 0.611], [-3.805, -0.602, -2.692], [-5.059, 0.771, 2.877]],
  "species": ["Si", "Ge", "La", "Si", "Ge"],
  "frac_coords": [[0.750, 0.250, 0.500], [0.650, 0.650, 0.700], [0.000, 0.000, 0.000], [0.250, 0.750, 0.500], [0.350, 0.350, 0.300]]
}


# 4
{
  "formula": "Ga3Hg3I",
  "functional": "GGA-PBE",
  "state": "relaxed",
  "raw_formation_energy_ev_per_fu": 1.32,
  "lattice": [[-1.927, 6.738, -3.276], [2.916, -2.441, -6.736], [-6.901, -2.913, -1.932]],
  "species": ["Hg", "Hg", "I", "Ga", "Hg", "Ga", "I", "Hg", "Ga", "Hg", "Hg", "Ga", "Ga", "Ga"],
  "frac_coords": [[0.750, 0.000, 0.500], [0.000, 0.500, 0.250], [0.500, 0.500, 0.500], [0.000, 0.250, 0.500], [0.250, 0.000, 0.500], [0.250, 0.500, 0.000], [0.000, 0.000, 0.000], [0.500, 0.750, 0.000], [0.500, 0.000, 0.750], [0.000, 0.500, 0.750], [0.500, 0.250, 0.000], [0.000, 0.750, 0.500], [0.750, 0.500, 0.000], [0.500, 0.000, 0.250]]
}


One value per record, in order, for total magnetic moment: 0.000, 0.000, 0.000, 0.000 μB per atom.